(1)
## Tb8Tl2Pt (GGA-PBE)

Data for a geometry-optimized Tb8Tl2Pt structure.

## Properties
Symmetry: No. 12
Magnetization (μB/f.u.): 0.00
Energy of formation (eV/atom): -0.345

Lattice parameters (Å, degrees): 9.889 9.889 6.754 102.71 102.71 29.72
Element x y z (fractional)
Tb (0.019, 0.019, 0.278)
Tb (0.211, 0.211, 0.822)
Tb (0.352, 0.352, 0.509)
Tb (0.411, 0.411, 0.043)
Tb (0.589, 0.589, 0.957)
Tb (0.648, 0.648, 0.491)
Tb (0.789, 0.789, 0.178)
Tb (0.981, 0.981, 0.722)
Tl (0.184, 0.184, 0.259)
Tl (0.816, 0.816, 0.741)
Pt (0.500, 0.500, 0.500)



(2)
## AcPd2 (GGA-PBE)

Data for a geometry-optimized AcPd2 structure.

## Properties
Symmetry: No. 227
Magnetization (μB/f.u.): 0.00
Energy of formation (eV/atom): -0.761
Distance to the lowest polymorph of the same formula (eV/atom): 0.007

Lattice parameters (Å, degrees): 5.686 5.686 5.686 60.00 60.00 60.00
Element x y z (fractional)
Ac (0.125, 0.125, 0.125)
Ac (0.875, 0.875, 0.875)
Pd (0.000, 0.500, 0.500)
Pd (0.500, 0.000, 0.500)
Pd (0.500, 0.500, 0.000)
Pd (0.500, 0.500, 0.500)



(3)
## GdMg3Pd (GGA-PBE)

Data for a geometry-optimized GdMg3Pd structure.

## Properties
Symmetry: No. 221
Magnetization (μB/f.u.): 7.77
Energy of formation (eV/atom): -0.209

Lattice parameters (Å, degrees): 4.994 4.994 4.994 90.00 90.00 90.00
Element x y z (fractional)
Gd (0.000, 0.000, 0.000)
Mg (0.000, 0.500, 0.500)
Mg (0.500, 0.000, 0.500)
Mg (0.500, 0.500, 0.000)
Pd (0.500, 0.500, 0.500)



(4)
## TiV4Au (GGA-PBE)

Data for a geometry-optimized TiV4Au structure.

## Properties
Symmetry: No. 216
Magnetization (μB/f.u.): 0.00
Energy of formation (eV/atom): 0.014

Lattice parameters (Å, degrees): 5.000 5.000 5.000 60.00 60.00 60.00
Element x y z (fractional)
Ti (0.000, 0.000, 0.000)
V (0.116, 0.628, 0.628)
V (0.628, 0.116, 0.628)
V (0.628, 0.628, 0.116)
V (0.628, 0.628, 0.628)
Au (0.250, 0.250, 0.250)



(5)
## V2TcCl (GGA-PBE)

Data for a geometry-optimized V2TcCl structure.

## Properties
Symmetry: No. 122
Magnetization (μB/f.u.): 0.00
Distance to the lowest polymorph of the same formula (eV/atom): 0.000

Lattice parameters (Å, degrees): 5.368 5.368 5.368 105.55 105.55 117.64
Element x y z (fractional)
V (0.094, 0.625, 0.969)
V (0.375, 0.344, 0.469)
V (0.656, 0.125, 0.031)
V (0.875, 0.906, 0.531)
Tc (0.250, 0.750, 0.500)
Tc (0.500, 0.500, 0.000)
Cl (0.000, 0.000, 0.000)
Cl (0.750, 0.250, 0.500)



(6)
## RbPdSe4 (GGA-PBE)

Data for a geometry-optimized RbPdSe4 structure.

## Properties
Symmetry: No. 2
Magnetization (μB/f.u.): 0.00
Final energy (eV/atom): -3.780

Lattice parameters (Å, degrees): 6.389 7.622 7.633 97.55 94.15 91.44
Element x y z (fractional)
Rb (0.192, 0.222, 0.384)
Rb (0.808, 0.778, 0.616)
Pd (0.390, 0.774, 0.022)
Pd (0.610, 0.226, 0.978)
Se (0.025, 0.138, 0.925)
Se (0.209, 0.520, 0.821)
Se (0.355, 0.000, 0.810)
Se (0.464, 0.586, 0.262)
Se (0.536, 0.414, 0.738)
Se (0.645, 0.000, 0.190)
Se (0.791, 0.480, 0.179)
Se (0.975, 0.862, 0.075)



(7)
## CaScRe2 (GGA-PBE)

Data for a geometry-optimized CaScRe2 structure.

## Properties
Symmetry: No. 216
Magnetization (μB/f.u.): 0.00
Energy of formation (eV/atom): 0.423
Distance to the lowest polymorph of the same formula (eV/atom): 0.299

Lattice parameters (Å, degrees): 4.681 4.681 4.681 60.00 60.00 60.00
Element x y z (fractional)
Ca (0.000, 0.000, 0.000)
Sc (0.250, 0.250, 0.250)
Re (0.500, 0.500, 0.500)
Re (0.750, 0.750, 0.750)



(8)
## AcH (GGA-PBE)

Data for a geometry-optimized AcH structure.

## Properties
Symmetry: No. 225
Magnetization (μB/f.u.): 0.00
Distance to the lowest polymorph of the same formula (eV/atom): 0.098

Lattice parameters (Å, degrees): 3.905 3.905 3.905 60.00 60.00 60.00
Element x y z (fractional)
Ac (0.000, 0.000, 0.000)
H (0.500, 0.500, 0.500)



(9)
## Li2Zn2Au5 (GGA-PBE)

Data for a geometry-optimized Li2Zn2Au5 structure.

## Properties
Symmetry: No. 46
Magnetization (μB/f.u.): 0.00
Energy of formation (eV/atom): -0.269

Lattice parameters (Å, degrees): 8.404 8.404 8.404 70.11 130.02 134.21
Element x y z (fractional)
Li (0.000, 0.000, 0.000)
Li (0.000, 0.500, 0.500)
Li (0.931, 0.714, 0.717)
Li (0.996, 0.214, 0.283)
Zn (0.302, 0.474, 0.110)
Zn (0.302, 0.692, 0.328)
Zn (0.364, 0.192, 0.890)
Zn (0.364, 0.974, 0.672)
Au (0.447, 0.890, 0.057)
Au (0.459, 0.309, 0.444)
Au (0.459, 0.515, 0.650)
Au (0.481, 0.108, 0.269)
Au (0.481, 0.711, 0.872)
Au (0.833, 0.390, 0.943)
Au (0.839, 0.211, 0.731)
Au (0.839, 0.608, 0.128)
Au (0.865, 0.015, 0.556)
Au (0.865, 0.809, 0.350)



(10)
## LuPaGePd (GGA-PBE)

Data for a geometry-optimized LuPaGePd structure.

## Properties
Symmetry: No. 216
Magnetization (μB/f.u.): 1.63
Energy of formation (eV/atom): -0.463

Lattice parameters (Å, degrees): 4.978 4.978 4.978 60.00 60.00 60.00
Element x y z (fractional)
Lu (0.000, 0.000, 0.000)
Pa (0.500, 0.500, 0.500)
Ge (0.250, 0.250, 0.250)
Pd (0.750, 0.750, 0.750)



(11)
## CaNi2Te (GGA-PBE)

Data for a geometry-optimized CaNi2Te structure.

## Properties
Symmetry: No. 12
Magnetization (μB/f.u.): 0.00
Final energy (eV/atom): -4.124

Lattice parameters (Å, degrees): 5.274 5.274 4.270 113.11 113.11 111.19
Element x y z (fractional)
Ca (0.000, 0.000, 0.000)
Ni (0.000, 0.500, 0.500)
Ni (0.500, 0.000, 0.500)
Te (0.500, 0.500, 0.000)



(12)
## AcCeAsAu (GGA-PBE)

Data for a geometry-optimized AcCeAsAu structure.

## Properties
Symmetry: No. 216
Magnetization (μB/f.u.): 2.36
Energy of formation (eV/atom): -0.800

Lattice parameters (Å, degrees): 5.369 5.369 5.369 60.00 60.00 60.00
Element x y z (fractional)
Ac (0.000, 0.000, 0.000)
Ce (0.500, 0.500, 0.500)
As (0.250, 0.250, 0.250)
Au (0.750, 0.750, 0.750)



(13)
## ErBiF6 (GGA-PBE)

Data for a geometry-optimized ErBiF6 structure.

## Properties
Symmetry: No. 84
Magnetization (μB/f.u.): 0.00
Final energy (eV/atom): -5.725

Lattice parameters (Å, degrees): 5.365 5.365 8.119 90.00 90.00 90.00
Element x y z (fractional)
Er (0.000, 0.000, 0.250)
Er (0.000, 0.000, 0.750)
Bi (0.500, 0.500, 0.000)
Bi (0.500, 0.500, 0.500)
F (0.166, 0.807, 0.000)
F (0.193, 0.166, 0.500)
F (0.250, 0.704, 0.320)
F (0.250, 0.704, 0.680)
F (0.296, 0.250, 0.180)
F (0.296, 0.250, 0.820)
F (0.704, 0.750, 0.180)
F (0.704, 0.750, 0.820)
F (0.750, 0.296, 0.320)
F (0.750, 0.296, 0.680)
F (0.807, 0.834, 0.500)
F (0.834, 0.193, 0.000)



(14)
## LiTh2Zr (GGA-PBE)

Data for a geometry-optimized LiTh2Zr structure.

## Properties
Symmetry: No. 123
Magnetization (μB/f.u.): 0.00
Energy of formation (eV/atom): 0.199
Distance to the lowest polymorph of the same formula (eV/atom): 0.034

Lattice parameters (Å, degrees): 5.546 5.546 3.511 90.00 90.00 90.00
Element x y z (fractional)
Li (0.000, 0.000, 0.000)
Th (0.000, 0.500, 0.500)
Th (0.500, 0.000, 0.500)
Zr (0.500, 0.500, 0.000)



(15)
## Li2YAg3 (GGA-PBE)

Data for a geometry-optimized Li2YAg3 structure.

## Properties
Symmetry: No. 194
Magnetization (μB/f.u.): 0.00
Energy of formation (eV/atom): -0.211
Distance to the lowest polymorph of the same formula (eV/atom): 0.012

Lattice parameters (Å, degrees): 4.566 4.566 12.968 90.00 90.00 120.00
Element x y z (fractional)
Li (0.333, 0.667, 0.073)
Li (0.333, 0.667, 0.427)
Li (0.667, 0.333, 0.573)
Li (0.667, 0.333, 0.927)
Y (0.000, 0.000, 0.250)
Y (0.000, 0.000, 0.750)
Ag (0.000, 0.000, 0.000)
Ag (0.000, 0.000, 0.500)
Ag (0.333, 0.667, 0.631)
Ag (0.333, 0.667, 0.869)
Ag (0.667, 0.333, 0.131)
Ag (0.667, 0.333, 0.369)



(16)
## Li2ScGeS4 (GGA-PBE)

Data for a geometry-optimized Li2ScGeS4 structure.

## Properties
Symmetry: No. 10
Magnetization (μB/f.u.): 0.00
Final energy (eV/atom): -5.096

Lattice parameters (Å, degrees): 6.436 3.638 6.439 90.00 109.40 90.00
Element x y z (fractional)
Li (0.000, 0.000, 0.000)
Li (0.500, 0.500, 0.000)
Sc (0.000, 0.500, 0.500)
Ge (0.500, 0.000, 0.500)
S (0.252, 0.000, 0.738)
S (0.254, 0.500, 0.261)
S (0.746, 0.500, 0.739)
S (0.748, 0.000, 0.262)



(17)
## Hg3Pt5Au12 (GGA-PBE)

Data for a geometry-optimized Hg3Pt5Au12 structure.

## Properties
Symmetry: No. 230
Magnetization (μB/f.u.): 0.00
Energy of formation (eV/atom): 0.526

Lattice parameters (Å, degrees): 13.589 13.589 13.589 109.47 109.47 109.47
Element x y z (fractional)
Hg (0.125, 0.250, 0.375)
Hg (0.125, 0.375, 0.750)
Hg (0.250, 0.375, 0.125)
Hg (0.250, 0.875, 0.625)
Hg (0.375, 0.125, 0.250)
Hg (0.375, 0.750, 0.125)
Hg (0.625, 0.250, 0.875)
Hg (0.625, 0.875, 0.750)
Hg (0.750, 0.125, 0.375)
Hg (0.750, 0.625, 0.875)
Hg (0.875, 0.625, 0.250)
Hg (0.875, 0.750, 0.625)
Pt (0.000, 0.000, 0.000)
Pt (0.000, 0.000, 0.500)
Pt (0.000, 0.500, 0.000)
Pt (0.000, 0.500, 0.500)
Pt (0.125, 0.750, 0.875)
Pt (0.125, 0.875, 0.250)
Pt (0.250, 0.125, 0.875)
Pt (0.250, 0.625, 0.375)
Pt (0.375, 0.250, 0.625)
Pt (0.375, 0.625, 0.750)
Pt (0.500, 0.000, 0.000)
Pt (0.500, 0.000, 0.500)
Pt (0.500, 0.500, 0.000)
Pt (0.500, 0.500, 0.500)
Pt (0.625, 0.375, 0.250)
Pt (0.625, 0.750, 0.375)
Pt (0.750, 0.375, 0.625)
Pt (0.750, 0.875, 0.125)
Pt (0.875, 0.125, 0.750)
Pt (0.875, 0.250, 0.125)
Au (0.061, 0.224, 0.141)
Au (0.061, 0.337, 0.920)
Au (0.080, 0.641, 0.418)
Au (0.080, 0.939, 0.663)
Au (0.082, 0.724, 0.663)
Au (0.082, 0.859, 0.420)
Au (0.141, 0.061, 0.224)
Au (0.141, 0.580, 0.918)
Au (0.163, 0.224, 0.582)
Au (0.163, 0.439, 0.580)
Au (0.224, 0.141, 0.061)
Au (0.224, 0.582, 0.163)
Au (0.276, 0.337, 0.918)
Au (0.276, 0.439, 0.359)
Au (0.337, 0.918, 0.276)
Au (0.337, 0.920, 0.061)
Au (0.359, 0.276, 0.439)
Au (0.359, 0.582, 0.920)
Au (0.418, 0.080, 0.641)
Au (0.418, 0.837, 0.776)
Au (0.420, 0.082, 0.859)
Au (0.420, 0.837, 0.561)
Au (0.439, 0.359, 0.276)
Au (0.439, 0.580, 0.163)
Au (0.561, 0.420, 0.837)
Au (0.561, 0.641, 0.724)
Au (0.580, 0.163, 0.439)
Au (0.580, 0.918, 0.141)
Au (0.582, 0.163, 0.224)
Au (0.582, 0.920, 0.359)
Au (0.641, 0.418, 0.080)
Au (0.641, 0.724, 0.561)
Au (0.663, 0.080, 0.939)
Au (0.663, 0.082, 0.724)
Au (0.724, 0.561, 0.641)
Au (0.724, 0.663, 0.082)
Au (0.776, 0.418, 0.837)
Au (0.776, 0.859, 0.939)
Au (0.837, 0.561, 0.420)
Au (0.837, 0.776, 0.418)
Au (0.859, 0.420, 0.082)
Au (0.859, 0.939, 0.776)
Au (0.918, 0.141, 0.580)
Au (0.918, 0.276, 0.337)
Au (0.920, 0.061, 0.337)
Au (0.920, 0.359, 0.582)
Au (0.939, 0.663, 0.080)
Au (0.939, 0.776, 0.859)



(18)
## NaLi2ZrO4 (GGA-PBE)

Data for a geometry-optimized NaLi2ZrO4 structure.

## Properties
Symmetry: No. 121
Magnetization (μB/f.u.): 1.04
Final energy (eV/atom): -6.285

Lattice parameters (Å, degrees): 5.090 5.090 5.090 116.25 116.25 96.64
Element x y z (fractional)
Na (0.000, 0.000, 0.000)
Li (0.250, 0.750, 0.500)
Li (0.750, 0.250, 0.500)
Zr (0.500, 0.500, 0.000)
O (0.119, 0.119, 0.556)
O (0.438, 0.881, 0.000)
O (0.562, 0.562, 0.444)
O (0.881, 0.438, 0.000)



(19)
## Sm2ErP3Rh4 (GGA-PBE)

Data for a geometry-optimized Sm2ErP3Rh4 structure.

## Properties
Symmetry: No. 115
Magnetization (μB/f.u.): 0.00
Energy of formation (eV/atom): -1.085

Lattice parameters (Å, degrees): 4.004 4.004 11.197 90.00 90.00 90.00
Element x y z (fractional)
Sm (0.000, 0.500, 0.223)
Sm (0.500, 0.000, 0.777)
Er (0.000, 0.000, 0.500)
P (0.000, 0.500, 0.875)
P (0.500, 0.000, 0.125)
P (0.500, 0.500, 0.500)
Rh (0.000, 0.000, 0.000)
Rh (0.000, 0.500, 0.668)
Rh (0.500, 0.000, 0.332)
Rh (0.500, 0.500, 0.000)



(20)
## DyEr2Tm4Th (GGA-PBE)

Data for a geometry-optimized DyEr2Tm4Th structure.

## Properties
Symmetry: No. 10
Magnetization (μB/f.u.): 0.00
Energy of formation (eV/atom): 0.031

Lattice parameters (Å, degrees): 4.983 4.991 9.873 90.00 90.05 90.00
Element x y z (fractional)
Dy (0.000, 0.000, 0.000)
Er (0.000, 0.000, 0.500)
Er (0.500, 0.500, 0.000)
Tm (0.000, 0.500, 0.251)
Tm (0.000, 0.500, 0.749)
Tm (0.500, 0.000, 0.252)
Tm (0.500, 0.000, 0.748)
Th (0.500, 0.500, 0.500)



(21)
## ThPa2Sb4 (GGA-PBE)

Data for a geometry-optimized ThPa2Sb4 structure.

## Properties
Symmetry: No. 63
Magnetization (μB/f.u.): 1.32
Final energy (eV/atom): -6.557

Lattice parameters (Å, degrees): 7.333 7.333 14.790 90.00 90.00 145.50
Element x y z (fractional)
Th (0.109, 0.891, 0.750)
Th (0.891, 0.109, 0.250)
Pa (0.362, 0.638, 0.561)
Pa (0.362, 0.638, 0.939)
Pa (0.638, 0.362, 0.061)
Pa (0.638, 0.362, 0.439)
Sb (0.000, 0.000, 0.000)
Sb (0.000, 0.000, 0.500)
Sb (0.273, 0.727, 0.133)
Sb (0.273, 0.727, 0.367)
Sb (0.441, 0.559, 0.750)
Sb (0.559, 0.441, 0.250)
Sb (0.727, 0.273, 0.633)
Sb (0.727, 0.273, 0.867)